1.
Material: In4Sn3Hg4
Method: DFT, PBE-GGA
State: relaxed

Geometry as CIF:
```
data_In4Sn3Hg4
_chemical_formula_sum 'In4 Sn3 Hg4'
_cell_length_a 3.368
_cell_length_b 4.883
_cell_length_c 19.351
_cell_angle_alpha 89.24
_cell_angle_beta 87.94
_cell_angle_gamma 70.22
_symmetry_space_group_name_H-M 'P -1'
_symmetry_Int_Tables_number 2
loop_
_symmetry_equiv_pos_as_xyz
'x,y,z'
'-x,-y,-z'
loop_
_atom_site_label
_atom_site_type_symbol
_atom_site_fract_x
_atom_site_fract_y
_atom_site_fract_z
In1 In 0.102 0.323 0.134
In2 In 0.289 0.954 0.405
Sn1 Sn 0.000 0.500 0.500
Sn2 Sn 0.205 0.125 0.771
Hg1 Hg 0.367 0.776 0.045
Hg2 Hg 0.448 0.587 0.684
```

Calculated values
- Magnetization: 0.000 μB per formula unit
- DFT formation energy: 0.034 eV/atom
- E_tot: -0.079 Ha/atom


2.
Material: In5Sn4Hg3
Method: DFT, PBE-GGA
State: relaxed

Geometry as CIF:
```
data_In5Sn4Hg3
_chemical_formula_sum 'In5 Sn4 Hg3'
_cell_length_a 6.350
_cell_length_b 7.025
_cell_length_c 8.320
_cell_angle_alpha 88.41
_cell_angle_beta 80.73
_cell_angle_gamma 63.65
_symmetry_space_group_name_H-M 'P -1'
_symmetry_Int_Tables_number 2
loop_
_symmetry_equiv_pos_as_xyz
'x,y,z'
'-x,-y,-z'
loop_
_atom_site_label
_atom_site_type_symbol
_atom_site_fract_x
_atom_site_fract_y
_atom_site_fract_z
In1 In 0.000 0.000 0.000
In2 In 0.070 0.219 0.325
In3 In 0.256 0.488 0.989
Sn1 Sn 0.293 0.713 0.326
Sn2 Sn 0.437 0.777 0.668
Hg1 Hg 0.202 0.281 0.670
Hg2 Hg 0.500 0.000 0.000
```

Calculated values
- Magnetization: 0.000 μB per formula unit
- DFT formation energy: 0.033 eV/atom
- E_tot: -0.093 Ha/atom


3.
Material: In4Sn4Hg
Method: DFT, PBE-GGA
State: relaxed

Geometry as CIF:
```
data_In4Sn4Hg
_chemical_formula_sum 'In8 Sn8 Hg2'
_cell_length_a 6.961
_cell_length_b 6.961
_cell_length_c 11.136
_cell_angle_alpha 90.00
_cell_angle_beta 90.00
_cell_angle_gamma 90.00
_symmetry_space_group_name_H-M 'P 42/n m c'
_symmetry_Int_Tables_number 137
loop_
_symmetry_equiv_pos_as_xyz
'x,y,z'
'-x,-y,-z'
'-y+1/2,x,z+1/2'
'y+1/2,-x,-z+1/2'
'-x+1/2,-y+1/2,z'
'x+1/2,y+1/2,-z'
'y,-x+1/2,z+1/2'
'-y,x+1/2,-z+1/2'
'x+1/2,-y,-z'
'-x+1/2,y,z'
'-y,-x,-z+1/2'
'y,x,z+1/2'
'-x,y+1/2,-z'
'x,-y+1/2,z'
'y+1/2,x+1/2,-z+1/2'
'-y+1/2,-x+1/2,z+1/2'
loop_
_atom_site_label
_atom_site_type_symbol
_atom_site_fract_x
_atom_site_fract_y
_atom_site_fract_z
In1 In 0.010 0.750 0.010
Sn1 Sn 0.032 0.250 0.691
Hg1 Hg 0.250 0.750 0.750
```

Calculated values
- Energy above the lowest structure with this stoichiometry: 56 meV per atom
- Magnetization: 0.000 μB per formula unit
- DFT formation energy: 0.091 eV/atom
- E_tot: -0.108 Ha/atom


4.
Material: In8SnHg2
Method: DFT, PBE-GGA
State: relaxed

Geometry as CIF:
```
data_In8SnHg2
_chemical_formula_sum 'In16 Sn2 Hg4'
_cell_length_a 8.487
_cell_length_b 14.559
_cell_length_c 5.450
_cell_angle_alpha 90.00
_cell_angle_beta 113.64
_cell_angle_gamma 90.00
_symmetry_space_group_name_H-M 'C 1 2/m 1'
_symmetry_Int_Tables_number 12
loop_
_symmetry_equiv_pos_as_xyz
'x,y,z'
'-x,-y,-z'
'-x,y,-z'
'x,-y,z'
'x+1/2,y+1/2,z'
'-x+1/2,-y+1/2,-z'
'-x+1/2,y+1/2,-z'
'x+1/2,-y+1/2,z'
loop_
_atom_site_label
_atom_site_type_symbol
_atom_site_fract_x
_atom_site_fract_y
_atom_site_fract_z
In1 In 0.000 0.221 0.000
In2 In 0.103 0.500 0.818
In3 In 0.203 0.114 0.624
Sn1 Sn 0.000 0.000 0.000
Hg1 Hg 0.000 0.312 0.500
```

Calculated values
- Magnetization: 0.000 μB per formula unit
- DFT formation energy: 0.055 eV/atom
- E_tot: -0.087 Ha/atom


5.
Material: In7SnHg6
Method: DFT, PBE-GGA
State: relaxed

Geometry as CIF:
```
data_In7SnHg6
_chemical_formula_sum 'In7 Sn1 Hg6'
_cell_length_a 7.368
_cell_length_b 7.604
_cell_length_c 7.845
_cell_angle_alpha 68.25
_cell_angle_beta 67.50
_cell_angle_gamma 74.19
_symmetry_space_group_name_H-M 'P 1'
_symmetry_Int_Tables_number 1
loop_
_symmetry_equiv_pos_as_xyz
'x,y,z'
loop_
_atom_site_label
_atom_site_type_symbol
_atom_site_fract_x
_atom_site_fract_y
_atom_site_fract_z
In1 In 0.000 0.000 0.000
In2 In 0.049 0.672 0.792
In3 In 0.182 0.977 0.364
In4 In 0.336 0.244 0.921
In5 In 0.438 0.867 0.712
In6 In 0.612 0.805 0.085
In7 In 0.701 0.430 0.877
Sn1 Sn 0.872 0.705 0.437
Hg1 Hg 0.145 0.297 0.576
Hg2 Hg 0.279 0.576 0.143
Hg3 Hg 0.476 0.537 0.506
Hg4 Hg 0.576 0.134 0.289
Hg5 Hg 0.765 0.103 0.654
Hg6 Hg 0.899 0.379 0.220
```

Calculated values
- Magnetization: 0.000 μB per formula unit
- DFT formation energy: 0.026 eV/atom
- E_tot: -0.065 Ha/atom


6.
Material: In12SnHg4
Method: DFT, PBE-GGA
State: relaxed

Geometry as CIF:
```
data_In12SnHg4
_chemical_formula_sum 'In12 Sn1 Hg4'
_cell_length_a 7.355
_cell_length_b 8.354
_cell_length_c 9.579
_cell_angle_alpha 114.51
_cell_angle_beta 92.51
_cell_angle_gamma 114.50
_symmetry_space_group_name_H-M 'P -1'
_symmetry_Int_Tables_number 2
loop_
_symmetry_equiv_pos_as_xyz
'x,y,z'
'-x,-y,-z'
loop_
_atom_site_label
_atom_site_type_symbol
_atom_site_fract_x
_atom_site_fract_y
_atom_site_fract_z
In1 In 0.017 0.316 0.343
In2 In 0.219 0.476 0.734
In3 In 0.278 0.022 0.270
In4 In 0.316 0.767 0.436
In5 In 0.340 0.434 0.111
In6 In 0.344 0.121 0.778
Sn1 Sn 0.000 0.000 0.000
Hg1 Hg 0.000 0.000 0.500
Hg2 Hg 0.000 0.500 0.000
Hg3 Hg 0.500 0.000 0.000
Hg4 Hg 0.500 0.500 0.500
```

Calculated values
- Magnetization: 0.000 μB per formula unit
- DFT formation energy: 0.032 eV/atom
- E_tot: -0.081 Ha/atom


7.
Material: In2Sn3Hg
Method: DFT, PBE-GGA
State: relaxed

Geometry as CIF:
```
data_In2Sn3Hg
_chemical_formula_sum 'In4 Sn6 Hg2'
_cell_length_a 8.956
_cell_length_b 3.422
_cell_length_c 10.713
_cell_angle_alpha 90.00
_cell_angle_beta 92.82
_cell_angle_gamma 90.00
_symmetry_space_group_name_H-M 'P 1 21/m 1'
_symmetry_Int_Tables_number 11
loop_
_symmetry_equiv_pos_as_xyz
'x,y,z'
'-x,-y,-z'
'-x,y+1/2,-z'
'x,-y+1/2,z'
loop_
_atom_site_label
_atom_site_type_symbol
_atom_site_fract_x
_atom_site_fract_y
_atom_site_fract_z
In1 In 0.138 0.250 0.418
In2 In 0.359 0.750 0.924
Sn1 Sn 0.107 0.250 0.096
Sn2 Sn 0.129 0.250 0.736
Sn3 Sn 0.389 0.750 0.589
Hg1 Hg 0.380 0.750 0.236
```

Calculated values
- Magnetization: 0.000 μB per formula unit
- DFT formation energy: 0.040 eV/atom
- E_tot: -0.107 Ha/atom


8.
Material: In2SnHg5
Method: DFT, PBE-GGA
State: relaxed

Geometry as CIF:
```
data_In2SnHg5
_chemical_formula_sum 'In4 Sn2 Hg10'
_cell_length_a 10.864
_cell_length_b 7.125
_cell_length_c 7.151
_cell_angle_alpha 90.00
_cell_angle_beta 130.39
_cell_angle_gamma 90.00
_symmetry_space_group_name_H-M 'C 1 m 1'
_symmetry_Int_Tables_number 8
loop_
_symmetry_equiv_pos_as_xyz
'x,y,z'
'x,-y,z'
'x+1/2,y+1/2,z'
'x+1/2,-y+1/2,z'
loop_
_atom_site_label
_atom_site_type_symbol
_atom_site_fract_x
_atom_site_fract_y
_atom_site_fract_z
In1 In 0.000 0.000 0.000
In2 In 0.000 0.500 0.498
Sn1 Sn 0.496 0.500 0.495
Hg1 Hg 0.006 0.500 0.007
Hg2 Hg 0.250 0.248 0.997
Hg3 Hg 0.251 0.247 0.504
```

Calculated values
- Energy above the lowest structure with this stoichiometry: 0 meV per atom
- Magnetization: 0.000 μB per formula unit
- DFT formation energy: 0.031 eV/atom
- E_tot: -0.049 Ha/atom


9.
Material: In2SnHg
Method: DFT, PBE-GGA
State: relaxed

Geometry as CIF:
```
data_In2SnHg
_chemical_formula_sum 'In6 Sn3 Hg3'
_cell_length_a 3.2504
_cell_length_b 3.2504
_cell_length_c 35.7208
_cell_angle_alpha 90.00
_cell_angle_beta 90.00
_cell_angle_gamma 120.00
_symmetry_space_group_name_H-M 'R -3 m'
_symmetry_Int_Tables_number 166
_symmetry_space_group_name_Hall '-R 3 2"'
loop_
_atom_site_label
_atom_site_type_symbol
_atom_site_fract_x
_atom_site_fract_y
_atom_site_fract_z
In1 In 0.0000 0.0000 0.0876
Sn1 Sn 0.0000 0.0000 0.0000
Hg1 Hg 0.0000 0.0000 0.5000
```

Calculated values
- Magnetization: 0.000 μB per formula unit
- DFT formation energy: 0.055 eV/atom
- E_tot: -0.088 Ha/atom